A relaxed structure of ReHgBiO6. Source: Alexandria via LeMat-Bulk, functional PBE.

Values from the calculation:
Formation energy (no corrections) ... -10.20 eV/f.u.
N(E_F) ... 0.000 states/eV/f.u.
Symmetry ... No. 5

Unit cell a=5.8352 b=5.8352 c=5.1357 alpha=97.67 beta=97.67 gamma=120.04
Last column: nearest neighbours and their distance in Å.
Fractional positions:
Re 0.0000 0.0000 0.0000  4 O 1.81-1.84
Hg 0.3308 0.6692 0.5000  2 O 2.06
Bi 0.6523 0.3477 0.0000  6 O 2.21-2.45
O 0.0006 0.3430 0.2239  1 Hg 2.06, 1 Re 2.17, 1 Bi 2.21
O 0.1943 0.2381 0.7996  1 Re 1.84
O 0.3088 0.0827 0.2297  1 Re 1.81
O 0.6570 0.9994 0.7761  1 Hg 2.06, 1 Re 2.17, 1 Bi 2.21
O 0.7619 0.8057 0.2004  1 Re 1.84
O 0.9173 0.6912 0.7703  1 Re 1.81

A relaxed structure of BiAs2SeO. Source: Alexandria via LeMat-Bulk, functional PBE.

Values from the calculation:
Formation energy (no corrections) ... 1.05 eV/f.u.
E above lowest polymorph ... 0.0 meV/atom
N(E_F) ... 2.055 states/eV/f.u.
Symmetry ... No. 123

Unit cell a=4.4318 b=4.4318 c=4.9975 alpha=90.00 beta=90.00 gamma=90.00
Last column: nearest neighbours and their distance in Å.
Fractional positions:
Bi 0.0000 0.0000 0.0000  4 Se 3.13, 8 As 3.34
As 0.0000 0.5000 0.5000  2 O 2.22
As 0.5000 0.0000 0.5000  2 O 2.22
Se 0.5000 0.5000 0.0000  2 O 2.50
O 0.5000 0.5000 0.5000  4 As 2.22

A relaxed structure of SnSb2As2. Source: Alexandria via LeMat-Bulk, functional PBE.

Values from the calculation:
Formation energy (no corrections) ... 1.17 eV/f.u.
E above lowest polymorph ... 63.9 meV/atom
N(E_F) ... 2.827 states/eV/f.u.
Symmetry ... No. 139

Unit cell a=8.7484 b=8.7484 c=8.7484 alpha=154.12 beta=154.12 gamma=36.92
Last column: nearest neighbours and their distance in Å.
Fractional positions:
Sn 0.0000 0.0000 0.0000  8 Sb 3.23
Sb 0.3999 0.3999 0.0000  4 As 3.17, 4 Sn 3.23, 1 Sb 3.32
Sb 0.6001 0.6001 0.0000  4 As 3.17, 4 Sn 3.23, 1 Sb 3.32
As 0.2500 0.7500 0.5000  4 As 2.77
As 0.7500 0.2500 0.5000  4 As 2.77

A relaxed structure of NdNpN2. Source: Alexandria via LeMat-Bulk, functional PBE.

Values from the calculation:
Formation energy (no corrections) ... -3.98 eV/f.u.
N(E_F) ... 5.741 states/eV/f.u.
Symmetry ... No. 160

Unit cell a=6.5199 b=6.5199 c=6.5199 alpha=30.49 beta=30.49 gamma=30.49
Last column: nearest neighbours and their distance in Å.
Fractional positions:
Nd 0.0000 0.0000 0.0000  6 N 2.51-2.66
Np 0.1719 0.1719 0.1719  6 N 2.44-2.47
N 0.4285 0.4285 0.4285  3 Np 2.44, 3 Nd 2.66
N 0.5841 0.5841 0.5841  3 Np 2.47, 3 Nd 2.51

A relaxed structure of LiZrIn. Source: Alexandria via LeMat-Bulk, functional PBE.

Values from the calculation:
E above lowest polymorph ... 103.6 meV/atom
N(E_F) ... 2.299 states/eV/f.u.
Symmetry ... No. 8
ΔH_f (0 K) ... -34.5 kJ/mol of formula units

Unit cell a=5.4878 b=5.4878 c=7.5556 alpha=107.20 beta=107.20 gamma=35.36
Last column: nearest neighbours and their distance in Å.
Fractional positions:
Li 0.0000 0.0000 0.0000  4 In 2.85-3.11, 2 Li 2.89, 4 Zr 3.14-3.15
Li 0.6723 0.6723 0.2897  2 Li 2.89, 5 In 2.93-3.07, 2 Zr 3.20
Zr 0.3336 0.3336 0.6515  3 Zr 2.93-2.98, 4 Li 3.15-3.20, 2 In 3.24
Zr 0.6277 0.6277 0.7445  3 Zr 2.93-2.98, 4 In 3.06, 2 Li 3.14
In 0.3004 0.3004 0.0710  5 Li 2.85-3.02, 2 Zr 3.06, 2 In 3.11
In 0.9809 0.9809 0.4025  4 Li 2.93-3.11, 4 Zr 3.06-3.24, 2 In 3.11

A relaxed structure of Pm2Nd6Sm3In. Source: Alexandria via LeMat-Bulk, functional PBE.

Values from the calculation:
N(E_F) ... 15.088 states/eV/f.u.
Symmetry ... No. 12
ΔH_f (0 K) ... -55.3 kJ/mol of formula units

Unit cell a=6.2695 b=6.2695 c=11.9836 alpha=95.06 beta=95.06 gamma=120.16
Last column: nearest neighbours and their distance in Å.
Fractional positions:
Pm 0.1662 0.8338 0.0000  6 Nd 3.60-3.61, 3 In 3.61-3.63, 3 Pm 3.61-3.62
Pm 0.8338 0.1662 0.0000  6 Nd 3.60-3.61, 3 In 3.61-3.63, 3 Pm 3.61-3.62
Nd 0.0927 0.4179 0.7529  6 Nd 3.52-3.67, 1 In 3.55, 2 Pm 3.60, 3 Sm 3.63-3.66
Nd 0.2576 0.2576 0.2486  6 Nd 3.52-3.67, 1 In 3.57, 2 Pm 3.61, 3 Sm 3.62-3.66
Nd 0.4179 0.0927 0.7529  6 Nd 3.52-3.67, 1 In 3.55, 2 Pm 3.60, 3 Sm 3.63-3.66
Nd 0.5821 0.9073 0.2471  6 Nd 3.52-3.67, 1 In 3.55, 2 Pm 3.60, 3 Sm 3.63-3.66
Nd 0.7424 0.7424 0.7514  6 Nd 3.52-3.67, 1 In 3.57, 2 Pm 3.61, 3 Sm 3.62-3.66
Nd 0.9073 0.5821 0.2471  6 Nd 3.52-3.67, 1 In 3.55, 2 Pm 3.60, 3 Sm 3.63-3.66
Sm 0.0000 0.0000 0.5000  6 Sm 3.60-3.62, 6 Nd 3.63-3.66
Sm 0.3316 0.6684 0.5000  6 Sm 3.60-3.66, 6 Nd 3.62-3.66
Sm 0.6684 0.3316 0.5000  6 Sm 3.60-3.66, 6 Nd 3.62-3.66
In 0.5000 0.5000 0.0000  6 Nd 3.55-3.57, 6 Pm 3.61-3.63